1.
Below is a relaxed structure of Pd3Pt4, with properties calculated at the PBE-GGA level.

POSCAR file:
```
Pd3Pt4
1.0
5.452 0.000 0.000
-1.817 6.813 0.000
-1.817 -3.406 5.900
Pt Pd
8 6
Direct
0.647 0.575 0.858 Pt
0.927 0.717 0.575 Pt
0.211 0.858 0.283 Pt
0.000 0.000 0.000 Pt
0.073 0.283 0.425 Pt
0.789 0.142 0.717 Pt
0.500 0.000 0.000 Pt
0.353 0.425 0.142 Pt
0.290 0.146 0.714 Pd
0.710 0.854 0.286 Pd
0.144 0.569 0.854 Pd
0.424 0.714 0.569 Pd
0.576 0.286 0.431 Pd
0.856 0.431 0.146 Pd
```

Results
Total moment ... 0.000 μB/atom
Electronic total energy ... -78.6 eV/cell
Calculated formation energy ... 61 meV/atom

2.
Below is a relaxed structure of Pd2Pt, with properties calculated at the PBE-GGA level.

POSCAR file:
```
Pd2Pt
1.0
-3.312 2.198 -3.276
-4.865 0.868 1.451
-1.621 4.819 0.824
Pd Pt
4 2
Direct
0.625 0.625 0.125 Pd
0.625 0.625 0.625 Pd
0.125 0.625 0.625 Pd
0.625 0.125 0.625 Pd
0.000 0.000 0.000 Pt
0.250 0.250 0.250 Pt
```

Results
Total moment ... 0.001 μB/atom
Electronic total energy ... -31.0 eV/cell
Calculated formation energy ... 309 meV/atom

3.
Below is a relaxed structure of Pd4Pt, with properties calculated at the PBE-GGA level.

POSCAR file:
```
Pd4Pt
1.0
3.957 0.000 0.000
1.979 4.414 0.000
1.979 0.000 4.414
Pd Pt
4 1
Direct
0.201 0.399 0.199 Pd
0.799 0.601 0.801 Pd
0.600 0.199 0.601 Pd
0.400 0.801 0.399 Pd
0.000 0.000 0.000 Pt
```

Results
Total moment ... 0.257 μB/atom
Electronic total energy ... -26.8 eV/cell
Calculated formation energy ... -6 meV/atom

4.
Below is a relaxed structure of PdPt6, with properties calculated at the PBE-GGA level.

POSCAR file:
```
PdPt6
1.0
6.049 0.000 0.000
-2.016 5.703 0.000
-2.016 -2.852 4.939
Pt Pd
6 1
Direct
0.250 0.750 0.500 Pt
0.250 0.500 0.750 Pt
0.750 0.500 0.250 Pt
0.750 0.250 0.500 Pt
0.500 0.250 0.750 Pt
0.500 0.750 0.250 Pt
0.000 0.000 0.000 Pd
```

Results
Total moment ... 0.190 μB/atom
Electronic total energy ... -34.5 eV/cell
Calculated formation energy ... 991 meV/atom

5.
Below is a relaxed structure of Pu3PdPt8, with properties calculated at the PBE-GGA level.

POSCAR file:
```
Pu3PdPt8
1.0
-1.537 -4.605 -2.362
3.319 -2.506 -3.443
4.064 -6.957 4.748
Pt Pu Pd
8 3 1
Direct
0.688 0.688 0.936 Pt
0.938 0.438 0.686 Pt
0.939 0.437 0.187 Pt
0.437 0.939 0.187 Pt
0.938 0.938 0.686 Pt
0.188 0.188 0.436 Pt
0.438 0.938 0.686 Pt
0.437 0.437 0.187 Pt
0.377 0.377 0.869 Pu
0.993 0.993 0.022 Pu
0.506 0.506 0.482 Pu
0.871 0.871 0.387 Pd
```

Results
Total moment ... 1.241 μB/atom
Electronic total energy ... -105.0 eV/cell
Calculated formation energy ... -705 meV/atom

6.
Below is a relaxed structure of Pu4Pd2Pt5, with properties calculated at the PBE-GGA level.

POSCAR file:
```
Pu4Pd2Pt5
1.0
-4.116 -3.246 1.153
-0.992 -1.284 5.335
-7.839 5.977 1.331
Pu Pt Pd
4 5 2
Direct
0.777 0.703 0.742 Pu
0.223 0.297 0.258 Pu
0.520 0.703 0.258 Pu
0.480 0.297 0.742 Pu
0.500 0.500 0.000 Pt
0.250 0.500 0.500 Pt
0.500 0.000 0.000 Pt
0.750 0.500 0.500 Pt
0.000 0.500 0.000 Pt
0.784 0.000 0.431 Pd
0.216 0.000 0.569 Pd
```

Results
Total moment ... 2.035 μB/atom
Electronic total energy ... -100.7 eV/cell
Calculated formation energy ... -255 meV/atom

7.
Below is a relaxed structure of PuPd8Pt2, with properties calculated at the PBE-GGA level.

POSCAR file:
```
PuPd8Pt2
1.0
-1.797 -3.476 1.082
2.998 0.166 5.515
-3.559 5.405 3.839
Pd Pt Pu
8 2 1
Direct
0.316 0.912 0.633 Pd
0.592 0.544 0.185 Pd
0.048 0.276 0.095 Pd
0.772 0.636 0.544 Pd
0.228 0.364 0.456 Pd
0.684 0.088 0.367 Pd
0.408 0.456 0.815 Pd
0.952 0.724 0.905 Pd
0.863 0.185 0.727 Pt
0.137 0.815 0.273 Pt
0.500 0.000 0.000 Pu
```

Results
Total moment ... 0.291 μB/atom
Electronic total energy ... -70.7 eV/cell
Calculated formation energy ... -251 meV/atom

8.
Below is a relaxed structure of PuPd2Pt3, with properties calculated at the PBE-GGA level.

POSCAR file:
```
PuPd2Pt3
1.0
-5.241 -0.413 1.334
-1.519 -3.086 -4.458
2.142 -4.351 5.838
Pt Pu Pd
6 2 4
Direct
0.787 0.421 0.336 Pt
0.250 0.161 0.323 Pt
0.287 0.085 0.664 Pt
0.713 0.915 0.336 Pt
0.213 0.579 0.664 Pt
0.750 0.839 0.677 Pt
0.750 0.341 0.682 Pu
0.250 0.659 0.318 Pu
0.057 0.229 0.995 Pd
0.943 0.771 0.005 Pd
0.557 0.233 0.005 Pd
0.443 0.767 0.995 Pd
```

Results
Total moment ... 0.680 μB/atom
Electronic total energy ... -89.4 eV/cell
Calculated formation energy ... -313 meV/atom

9.
Below is a relaxed structure of PuPdPt6, with properties calculated at the PBE-GGA level.

POSCAR file:
```
PuPdPt6
1.0
-1.105 -4.305 2.276
-3.023 -3.088 -2.500
4.444 -4.696 -2.981
Pu Pt Pd
1 6 1
Direct
0.500 0.500 0.500 Pu
0.457 0.951 0.697 Pt
0.049 0.543 0.303 Pt
0.951 0.457 0.697 Pt
0.346 0.346 0.957 Pt
0.654 0.654 0.043 Pt
0.543 0.049 0.303 Pt
0.000 0.000 0.000 Pd
```

Results
Total moment ... 0.484 μB/atom
Electronic total energy ... -56.6 eV/cell
Calculated formation energy ... -105 meV/atom

10.
Below is a relaxed structure of PuPd3Pt2, with properties calculated at the PBE-GGA level.

POSCAR file:
```
PuPd3Pt2
1.0
-1.401 -5.398 -1.346
-1.504 -3.688 4.130
-7.813 -1.067 0.187
Pu Pt Pd
2 4 6
Direct
0.778 0.778 0.665 Pu
0.222 0.222 0.335 Pu
0.000 0.000 0.000 Pt
0.500 0.000 0.000 Pt
0.500 0.500 0.000 Pt
0.000 0.500 0.000 Pt
0.772 0.279 0.670 Pd
0.721 0.228 0.330 Pd
0.279 0.772 0.670 Pd
0.228 0.721 0.330 Pd
0.279 0.279 0.670 Pd
0.721 0.721 0.330 Pd
```

Results
Total moment ... 0.742 μB/atom
Electronic total energy ... -88.8 eV/cell
Calculated formation energy ... -399 meV/atom

11.
Below is a relaxed structure of Pu7Pd2Pt2, with properties calculated at the PBE-GGA level.

POSCAR file:
```
Pu7Pd2Pt2
1.0
-5.099 -3.623 -1.609
0.400 -3.351 6.276
-2.129 5.321 2.977
Pu Pt Pd
7 2 2
Direct
0.500 0.265 0.500 Pu
0.500 0.297 0.000 Pu
0.500 0.703 0.000 Pu
0.500 0.735 0.500 Pu
0.000 0.000 0.000 Pu
0.000 0.297 0.500 Pu
0.000 0.703 0.500 Pu
0.177 0.500 0.177 Pt
0.823 0.500 0.823 Pt
0.715 0.000 0.285 Pd
0.285 0.000 0.715 Pd
```

Results
Total moment ... 3.692 μB/atom
Electronic total energy ... -124.6 eV/cell
Calculated formation energy ... -169 meV/atom

12.
Below is a relaxed structure of Pu2Pd5Pt, with properties calculated at the PBE-GGA level.

POSCAR file:
```
Pu2Pd5Pt
1.0
-4.042 0.750 0.615
-1.347 -3.686 -4.356
-0.481 -8.874 7.659
Pd Pu Pt
10 4 2
Direct
0.500 0.253 0.374 Pd
0.500 0.753 0.126 Pd
0.500 0.747 0.626 Pd
0.000 0.504 0.250 Pd
0.000 0.004 0.250 Pd
0.000 0.500 0.500 Pd
0.000 0.496 0.750 Pd
0.500 0.247 0.874 Pd
0.000 0.000 0.000 Pd
0.000 0.996 0.750 Pd
0.500 0.247 0.624 Pu
0.500 0.753 0.376 Pu
0.500 0.747 0.876 Pu
0.500 0.253 0.124 Pu
0.000 0.500 0.000 Pt
0.000 0.000 0.500 Pt
```

Results
Total moment ... 1.156 μB/atom
Electronic total energy ... -130.9 eV/cell
Calculated formation energy ... -596 meV/atom

13.
Below is a relaxed structure of Pu2Pd2Pt, with properties calculated at the PBE-GGA level.

POSCAR file:
```
Pu2Pd2Pt
1.0
4.689 0.393 3.040
1.913 4.300 3.040
0.610 0.434 5.586
Pd Pu Pt
2 2 1
Direct
0.403 0.403 0.405 Pd
0.597 0.597 0.595 Pd
0.211 0.211 0.210 Pu
0.789 0.789 0.790 Pu
0.000 0.000 0.000 Pt
```

Results
Total moment ... 2.195 μB/atom
Electronic total energy ... -47.6 eV/cell
Calculated formation energy ... -499 meV/atom

14.
Below is a relaxed structure of Pu5Pd4Pt2, with properties calculated at the PBE-GGA level.

POSCAR file:
```
Pu5Pd4Pt2
1.0
-0.563 -2.769 -2.354
6.820 1.020 -2.830
6.403 -11.036 11.452
Pu Pt Pd
10 4 8
Direct
0.000 0.000 0.500 Pu
0.000 0.776 0.292 Pu
0.000 0.724 0.792 Pu
0.000 0.224 0.708 Pu
0.000 0.376 0.430 Pu
0.000 0.500 0.000 Pu
0.000 0.124 0.930 Pu
0.000 0.276 0.208 Pu
0.000 0.876 0.070 Pu
0.000 0.624 0.570 Pu
0.500 0.469 0.306 Pt
0.500 0.531 0.694 Pt
0.500 0.031 0.806 Pt
0.500 0.969 0.194 Pt
0.500 0.725 0.432 Pd
0.500 0.775 0.932 Pd
0.500 0.590 0.146 Pd
0.500 0.275 0.568 Pd
0.500 0.090 0.354 Pd
0.500 0.410 0.854 Pd
0.500 0.910 0.646 Pd
0.500 0.225 0.068 Pd
```

Results
Total moment ... 2.481 μB/atom
Electronic total energy ... -220.9 eV/cell
Calculated formation energy ... -541 meV/atom

15.
Below is a relaxed structure of Pu5Pd3Pt, with properties calculated at the PBE-GGA level.

POSCAR file:
```
Pu5Pd3Pt
1.0
-3.569 4.156 2.123
-4.371 -6.188 4.768
7.043 4.234 3.550
Pd Pu Pt
6 10 2
Direct
0.750 0.382 0.000 Pd
0.750 0.618 0.618 Pd
0.250 0.000 0.618 Pd
0.250 0.382 0.382 Pd
0.250 0.618 0.000 Pd
0.750 0.000 0.382 Pd
0.250 0.719 0.719 Pu
0.500 0.667 0.333 Pu
0.750 0.000 0.719 Pu
0.500 0.333 0.667 Pu
0.000 0.333 0.667 Pu
0.250 0.000 0.281 Pu
0.750 0.719 0.000 Pu
0.750 0.281 0.281 Pu
0.000 0.667 0.333 Pu
0.250 0.281 0.000 Pu
0.000 0.000 0.000 Pt
0.500 0.000 0.000 Pt
```

Results
Total moment ... 3.172 μB/atom
Electronic total energy ... -193.8 eV/cell
Calculated formation energy ... -404 meV/atom

16.
Below is a relaxed structure of Pu6Pd5Pt, with properties calculated at the PBE-GGA level.

POSCAR file:
```
Pu6Pd5Pt
1.0
-2.461 -2.645 -3.958
-2.906 -3.290 4.006
-3.281 8.363 0.080
Pu Pd Pt
6 5 1
Direct
0.834 0.084 0.669 Pu
0.166 0.916 0.331 Pu
0.166 0.415 0.331 Pu
0.834 0.585 0.669 Pu
0.500 0.248 0.000 Pu
0.500 0.752 0.000 Pu
0.000 0.500 0.000 Pd
0.668 0.168 0.336 Pd
0.332 0.832 0.664 Pd
0.667 0.667 0.334 Pd
0.333 0.333 0.666 Pd
0.000 0.000 0.000 Pt
```

Results
Total moment ... 0.962 μB/atom
Electronic total energy ... -123.5 eV/cell
Calculated formation energy ... -458 meV/atom

17.
Below is a relaxed structure of Pu3PdPt3, with properties calculated at the PBE-GGA level.

POSCAR file:
```
Pu3PdPt3
1.0
3.974 0.000 0.000
-1.987 5.232 0.000
0.000 0.000 14.594
Pu Pt Pd
6 6 2
Direct
0.164 0.328 0.598 Pu
0.568 0.137 0.250 Pu
0.836 0.672 0.098 Pu
0.836 0.672 0.402 Pu
0.164 0.328 0.902 Pu
0.432 0.863 0.750 Pu
0.702 0.403 0.750 Pt
0.121 0.242 0.396 Pt
0.879 0.758 0.604 Pt
0.298 0.597 0.250 Pt
0.879 0.758 0.896 Pt
0.121 0.242 0.104 Pt
0.500 0.000 0.500 Pd
0.500 0.000 0.000 Pd
```

Results
Total moment ... 0.740 μB/atom
Electronic total energy ... -142.2 eV/cell
Calculated formation energy ... -685 meV/atom

18.
Below is a relaxed structure of PuPd2Pt, with properties calculated at the PBE-GGA level.

POSCAR file:
```
PuPd2Pt
1.0
4.174 0.000 0.000
0.000 4.133 0.000
0.000 0.000 4.133
Pt Pd Pu
1 2 1
Direct
0.500 0.500 0.500 Pt
0.000 0.000 0.500 Pd
0.000 0.500 0.000 Pd
0.500 0.000 0.000 Pu
```

Results
Total moment ... 1.124 μB/atom
Electronic total energy ... -33.3 eV/cell
Calculated formation energy ... -631 meV/atom

19.
Below is a relaxed structure of Pu3PdPt, with properties calculated at the PBE-GGA level.

POSCAR file:
```
Pu3PdPt
1.0
3.335 0.000 1.180
0.000 7.980 0.000
1.888 0.000 5.265
Pt Pd Pu
1 1 3
Direct
0.997 0.645 0.821 Pt
0.487 0.145 0.321 Pd
0.000 0.645 0.321 Pu
0.485 0.327 0.821 Pu
0.485 0.963 0.821 Pu
```

Results
Total moment ... 3.397 μB/atom
Electronic total energy ... -55.6 eV/cell
Calculated formation energy ... -266 meV/atom

20.
Below is a relaxed structure of PuPd6Pt2, with properties calculated at the PBE-GGA level.

POSCAR file:
```
PuPd6Pt2
1.0
-1.041 -1.490 2.108
-3.528 -5.968 -4.124
4.764 -5.283 0.457
Pd Pt Pu
6 2 1
Direct
0.659 0.165 0.517 Pd
0.341 0.835 0.483 Pd
0.238 0.363 0.160 Pd
0.938 0.288 0.836 Pd
0.762 0.637 0.840 Pd
0.062 0.712 0.164 Pd
0.888 0.048 0.176 Pt
0.112 0.952 0.824 Pt
0.000 0.500 0.500 Pu
```

Results
Total moment ... 0.490 μB/atom
Electronic total energy ... -58.2 eV/cell
Calculated formation energy ... -68 meV/atom

21.
Below is a relaxed structure of Pu2Pd2Pt15, with properties calculated at the PBE-GGA level.

POSCAR file:
```
Pu2Pd2Pt15
1.0
6.919 -0.048 0.850
0.746 6.879 0.850
-0.054 -0.048 6.971
Pt Pd Pu
15 2 2
Direct
0.000 0.000 0.500 Pt
0.313 0.687 0.000 Pt
0.000 0.313 0.687 Pt
0.654 0.163 0.654 Pt
0.346 0.346 0.837 Pt
0.163 0.654 0.654 Pt
0.687 0.000 0.313 Pt
0.346 0.837 0.346 Pt
0.500 0.000 0.000 Pt
0.837 0.346 0.346 Pt
0.687 0.313 0.000 Pt
0.654 0.654 0.163 Pt
0.000 0.687 0.313 Pt
0.000 0.500 0.000 Pt
0.313 0.000 0.687 Pt
0.104 0.104 0.104 Pd
0.896 0.896 0.896 Pd
0.335 0.335 0.335 Pu
0.665 0.665 0.665 Pu
```

Results
Total moment ... 0.482 μB/atom
Electronic total energy ... -135.7 eV/cell
Calculated formation energy ... -318 meV/atom